# 1
The following is a DFT calculation (PBE) of an optimized crystal structure of Ac4NdDy. Values from VASP.

Structure (Quantum ESPRESSO input):
```
&SYSTEM
  ibrav = 0, nat = 6, ntyp = 3
/
ATOMIC_SPECIES
Ac 227.00 Ac.upf
Nd 144.24 Nd.upf
Dy 162.50 Dy.upf
CELL_PARAMETERS angstrom
2.771 -8.090 0.000
2.771 8.090 0.000
0.000 0.000 5.498
ATOMIC_POSITIONS angstrom
Ac 2.771 5.481 0.000
Ac 2.771 2.598 2.749
Ac 2.771 -2.598 2.749
Ac 2.771 -5.481 0.000
Nd 0.000 0.000 2.749
Dy 2.771 0.000 0.000
```

Its spin magnetization is 0.000 μB per formula unit. As for the density of states at the Fermi level: 1.843 states/eV per atom. The calculation puts the electronic total energy at -0.313 Ry/atom.

***

# 2
The following is a DFT calculation (PBE) of an optimized crystal structure of AcNd2Dy4. Values from VASP.

Structure (Quantum ESPRESSO input):
```
&SYSTEM
  ibrav = 0, nat = 7, ntyp = 3
/
ATOMIC_SPECIES
Ac 227.00 Ac.upf
Nd 144.24 Nd.upf
Dy 162.50 Dy.upf
CELL_PARAMETERS angstrom
-4.331 4.331 3.309
4.331 -4.331 3.309
4.331 4.331 -3.309
ATOMIC_POSITIONS angstrom
Ac 0.000 0.000 0.000
Nd 4.331 0.000 1.654
Nd 0.000 4.331 1.654
Dy 2.634 2.634 0.000
Dy 1.697 -1.697 3.309
Dy -1.697 1.697 3.309
Dy 1.697 1.697 3.309
```

Its spin magnetization is 0.000 μB per formula unit. As for the density of states at the Fermi level: 1.806 states/eV per atom. The calculation puts the electronic total energy at -0.322 Ry/atom.

***

# 3
The following is a DFT calculation (PBE) of an optimized crystal structure of AcNd5Dy4. Values from VASP.

Structure (Quantum ESPRESSO input):
```
&SYSTEM
  ibrav = 0, nat = 10, ntyp = 3
/
ATOMIC_SPECIES
Ac 227.00 Ac.upf
Nd 144.24 Nd.upf
Dy 162.50 Dy.upf
CELL_PARAMETERS angstrom
3.682 0.000 0.000
0.000 3.682 0.000
0.000 0.000 25.545
ATOMIC_POSITIONS angstrom
Ac 0.000 0.000 0.000
Nd 1.841 1.841 2.798
Nd 1.841 1.841 7.799
Nd 1.841 1.841 12.772
Nd 1.841 1.841 17.746
Nd 1.841 1.841 22.747
Dy 0.000 0.000 5.302
Dy 0.000 0.000 10.282
Dy 0.000 0.000 15.263
Dy 0.000 0.000 20.243
```

Its spin magnetization is 0.000 μB per formula unit. As for the density of states at the Fermi level: 1.473 states/eV per atom. The calculation puts the electronic total energy at -0.339 Ry/atom.

***

# 4
The following is a DFT calculation (PBE) of an optimized crystal structure of Ac4NdDy2. Values from VASP.

Structure (Quantum ESPRESSO input):
```
&SYSTEM
  ibrav = 0, nat = 14, ntyp = 3
/
ATOMIC_SPECIES
Ac 227.00 Ac.upf
Nd 144.24 Nd.upf
Dy 162.50 Dy.upf
CELL_PARAMETERS angstrom
3.405 -6.358 0.000
3.405 6.358 0.000
-3.356 0.000 12.797
ATOMIC_POSITIONS angstrom
Ac 1.727 5.308 6.399
Ac 0.500 1.827 7.301
Ac 3.295 1.798 1.899
Ac 2.178 -1.827 0.903
Ac 1.617 -1.798 8.298
Ac 3.792 1.087 9.214
Ac 3.405 -5.308 0.000
Ac 5.470 -1.087 2.816
Nd 0.219 0.776 10.998
Nd 1.897 -0.776 4.599
Dy 1.777 4.056 10.132
Dy 3.731 2.322 5.469
Dy 2.053 -2.322 11.867
Dy 3.455 -4.056 3.734
```

Its spin magnetization is 0.000 μB per formula unit. As for the density of states at the Fermi level: 1.541 states/eV per atom. The calculation puts the electronic total energy at -0.313 Ry/atom.

***

# 5
The following is a DFT calculation (PBE) of an optimized crystal structure of Ac7NdDy4. Values from VASP.

Structure (Quantum ESPRESSO input):
```
&SYSTEM
  ibrav = 0, nat = 12, ntyp = 3
/
ATOMIC_SPECIES
Ac 227.00 Ac.upf
Nd 144.24 Nd.upf
Dy 162.50 Dy.upf
CELL_PARAMETERS angstrom
7.008 0.000 0.000
-0.646 7.048 0.000
-2.388 -0.355 9.708
ATOMIC_POSITIONS angstrom
Ac 0.000 0.000 0.000
Ac -0.247 2.341 5.759
Ac 0.638 5.741 3.611
Ac 1.026 1.410 9.103
Ac 2.948 5.283 0.605
Ac 3.336 0.951 6.097
Ac 4.221 4.351 3.949
Nd -0.323 3.524 0.000
Dy -1.101 5.717 6.928
Dy 1.665 2.213 2.626
Dy 2.309 4.480 7.083
Dy 5.075 0.975 2.780
```

Its spin magnetization is 0.000 μB per formula unit. As for the density of states at the Fermi level: 1.558 states/eV per atom. The calculation puts the electronic total energy at -0.309 Ry/atom.

***

# 6
The following is a DFT calculation (PBE) of an optimized crystal structure of AcNdDy4. Values from VASP.

Structure (Quantum ESPRESSO input):
```
&SYSTEM
  ibrav = 0, nat = 6, ntyp = 3
/
ATOMIC_SPECIES
Ac 227.00 Ac.upf
Nd 144.24 Nd.upf
Dy 162.50 Dy.upf
CELL_PARAMETERS angstrom
0.000 4.761 4.761
4.761 0.000 4.761
4.761 4.761 0.000
ATOMIC_POSITIONS angstrom
Ac 0.000 0.000 0.000
Nd 2.380 2.380 2.380
Dy 5.942 3.579 3.579
Dy 3.579 5.942 3.579
Dy 3.579 3.579 5.942
Dy 5.942 5.942 5.942
```

Its spin magnetization is 2.725 μB per formula unit. As for the density of states at the Fermi level: 2.610 states/eV per atom. The calculation puts the electronic total energy at -0.314 Ry/atom.

***

# 7
The following is a DFT calculation (PBE) of an optimized crystal structure of AcNd3Dy7. Values from VASP.

Structure (Quantum ESPRESSO input):
```
&SYSTEM
  ibrav = 0, nat = 11, ntyp = 3
/
ATOMIC_SPECIES
Ac 227.00 Ac.upf
Nd 144.24 Nd.upf
Dy 162.50 Dy.upf
CELL_PARAMETERS angstrom
7.148 0.000 0.000
-3.574 6.190 0.000
0.000 0.000 8.815
ATOMIC_POSITIONS angstrom
Ac 0.000 0.000 0.000
Nd 0.000 2.079 3.023
Nd -1.774 5.151 3.023
Nd 1.774 5.151 3.023
Dy -1.776 3.101 0.003
Dy 0.000 4.127 5.980
Dy 1.793 1.035 5.928
Dy 1.776 3.101 0.003
Dy 0.000 6.178 0.003
Dy 5.355 1.035 5.928
Dy 3.574 4.120 5.928
```

Its spin magnetization is 0.000 μB per formula unit. As for the density of states at the Fermi level: 1.594 states/eV per atom. The calculation puts the electronic total energy at -0.324 Ry/atom.

***

# 8
The following is a DFT calculation (PBE) of an optimized crystal structure of Ac6NdDy4. Values from VASP.

Structure (Quantum ESPRESSO input):
```
&SYSTEM
  ibrav = 0, nat = 11, ntyp = 3
/
ATOMIC_SPECIES
Ac 227.00 Ac.upf
Nd 144.24 Nd.upf
Dy 162.50 Dy.upf
CELL_PARAMETERS angstrom
-3.374 3.374 10.305
3.374 -3.374 10.305
3.374 3.374 -10.305
ATOMIC_POSITIONS angstrom
Ac 3.374 0.000 0.000
Ac 2.036 2.036 -3.941
Ac 1.338 -1.338 14.246
Ac 0.000 3.374 0.000
Ac 1.338 1.338 6.364
Ac -1.338 1.338 14.246
Nd 0.000 0.000 0.000
Dy 2.099 -2.099 7.543
Dy 1.275 1.275 2.762
Dy -2.099 2.099 7.543
Dy 2.099 2.099 13.068
```

Its spin magnetization is 0.000 μB per formula unit. As for the density of states at the Fermi level: 1.627 states/eV per atom. The calculation puts the electronic total energy at -0.296 Ry/atom.

***

# 9
The following is a DFT calculation (PBE) of an optimized crystal structure of AcNd12Dy7. Values from VASP.

Structure (Quantum ESPRESSO input):
```
&SYSTEM
  ibrav = 0, nat = 20, ntyp = 3
/
ATOMIC_SPECIES
Ac 227.00 Ac.upf
Nd 144.24 Nd.upf
Dy 162.50 Dy.upf
CELL_PARAMETERS angstrom
6.214 3.588 5.212
-6.214 3.588 5.212
0.000 -7.175 5.212
ATOMIC_POSITIONS angstrom
Ac 0.000 0.000 0.000
Nd -0.863 -3.696 5.892
Nd -3.009 -0.808 6.601
Nd -2.769 2.596 5.892
Nd -3.633 -1.100 9.745
Nd -0.805 -3.009 9.036
Nd 2.204 -2.202 6.601
Nd -2.204 2.202 9.036
Nd 0.805 3.009 6.601
Nd 3.633 1.100 5.892
Nd 2.769 -2.596 9.745
Nd 3.009 0.808 9.036
Nd 0.863 3.696 9.745
Dy -2.030 0.499 3.138
Dy 0.583 -2.008 3.138
Dy 1.447 1.509 3.138
Dy 0.000 0.000 7.818
Dy -1.447 -1.509 12.499
Dy -0.583 2.008 12.499
Dy 2.030 -0.499 12.499
```

Its spin magnetization is 0.000 μB per formula unit. As for the density of states at the Fermi level: 1.669 states/eV per atom. The calculation puts the electronic total energy at -0.328 Ry/atom.

***

# 10
The following is a DFT calculation (PBE) of an optimized crystal structure of AcNdDy3. Values from VASP.

Structure (Quantum ESPRESSO input):
```
&SYSTEM
  ibrav = 0, nat = 20, ntyp = 3
/
ATOMIC_SPECIES
Ac 227.00 Ac.upf
Nd 144.24 Nd.upf
Dy 162.50 Dy.upf
CELL_PARAMETERS angstrom
9.489 0.000 0.000
0.000 6.424 0.000
-5.129 0.000 11.487
ATOMIC_POSITIONS angstrom
Ac 0.936 1.126 1.166
Ac -1.629 2.086 6.909
Ac 5.989 4.338 4.577
Ac 3.424 5.298 10.321
Nd 2.473 4.276 0.014
Nd -0.091 5.360 5.757
Nd 4.451 1.064 5.730
Nd 1.887 2.148 11.473
Dy -0.569 4.276 2.355
Dy -3.134 5.360 8.098
Dy -1.269 1.047 10.362
Dy 1.296 2.165 4.619
Dy 0.130 4.314 9.181
Dy 2.695 5.322 3.437
Dy 1.665 1.102 8.049
Dy 4.230 2.110 2.306
Dy 3.064 4.259 6.868
Dy 5.629 5.377 1.124
Dy 7.494 1.064 3.389
Dy 4.929 2.148 9.132
```

Its spin magnetization is 0.000 μB per formula unit. As for the density of states at the Fermi level: 1.718 states/eV per atom. The calculation puts the electronic total energy at -0.330 Ry/atom.

***

# 11
The following is a DFT calculation (PBE) of an optimized crystal structure of AcNdDy. Values from VASP.

Structure (Quantum ESPRESSO input):
```
&SYSTEM
  ibrav = 0, nat = 6, ntyp = 3
/
ATOMIC_SPECIES
Ac 227.00 Ac.upf
Nd 144.24 Nd.upf
Dy 162.50 Dy.upf
CELL_PARAMETERS angstrom
5.128 0.000 0.000
0.000 5.128 0.000
0.000 0.000 8.853
ATOMIC_POSITIONS angstrom
Ac 1.282 3.846 0.000
Ac 3.846 1.282 0.000
Nd 1.282 1.282 2.680
Nd 3.846 3.846 6.173
Dy 1.282 1.282 6.173
Dy 3.846 3.846 2.681
```

Its spin magnetization is 0.000 μB per formula unit. As for the density of states at the Fermi level: 1.564 states/eV per atom. The calculation puts the electronic total energy at -0.309 Ry/atom.

***

# 12
The following is a DFT calculation (PBE) of an optimized crystal structure of AcNd6Dy2. Values from VASP.

Structure (Quantum ESPRESSO input):
```
&SYSTEM
  ibrav = 0, nat = 9, ntyp = 3
/
ATOMIC_SPECIES
Ac 227.00 Ac.upf
Nd 144.24 Nd.upf
Dy 162.50 Dy.upf
CELL_PARAMETERS angstrom
3.691 0.000 0.000
-1.845 3.196 0.000
0.000 0.000 27.418
ATOMIC_POSITIONS angstrom
Ac 0.000 0.000 0.000
Nd 0.000 0.000 6.172
Nd 0.000 0.000 11.913
Nd 0.000 0.000 15.505
Nd 0.000 0.000 21.246
Nd 0.000 2.131 3.200
Nd 0.000 2.131 24.218
Dy 0.000 2.131 9.108
Dy 0.000 2.131 18.310
```

Its spin magnetization is 0.000 μB per formula unit. As for the density of states at the Fermi level: 1.572 states/eV per atom. The calculation puts the electronic total energy at -0.338 Ry/atom.

***

Copy entry 4 word for word.
The following is a DFT calculation (PBE) of an optimized crystal structure of Ac4NdDy2. Values from VASP.

Structure (Quantum ESPRESSO input):
```
&SYSTEM
  ibrav = 0, nat = 14, ntyp = 3
/
ATOMIC_SPECIES
Ac 227.00 Ac.upf
Nd 144.24 Nd.upf
Dy 162.50 Dy.upf
CELL_PARAMETERS angstrom
3.405 -6.358 0.000
3.405 6.358 0.000
-3.356 0.000 12.797
ATOMIC_POSITIONS angstrom
Ac 1.727 5.308 6.399
Ac 0.500 1.827 7.301
Ac 3.295 1.798 1.899
Ac 2.178 -1.827 0.903
Ac 1.617 -1.798 8.298
Ac 3.792 1.087 9.214
Ac 3.405 -5.308 0.000
Ac 5.470 -1.087 2.816
Nd 0.219 0.776 10.998
Nd 1.897 -0.776 4.599
Dy 1.777 4.056 10.132
Dy 3.731 2.322 5.469
Dy 2.053 -2.322 11.867
Dy 3.455 -4.056 3.734
```

Its spin magnetization is 0.000 μB per formula unit. As for the density of states at the Fermi level: 1.541 states/eV per atom. The calculation puts the electronic total energy at -0.313 Ry/atom.